First-principles (PBE) data for an optimized crystal structure of VNi3, as listed in the Alexandria database.

Values from the calculation:
- Energy relative to the elements: -0.04 eV/atom
- Total DFT energy (no corrections): -6.66 eV/atom
- SG: R-3m (166)

Cell lengths 8.3948, 8.3948, 8.3948 Å; angles 17.28, 17.28, 17.28 degrees
With the nearest neighbours (Å) after each atom.
Fractional positions:
V1 0.0000 0.0000 0.0000  6 V 2.52, 6 Ni 2.53
Ni1 0.2498 0.2498 0.2498  9 Ni 2.52, 3 V 2.53
Ni2 0.5000 0.5000 0.5000  12 Ni 2.52
Ni3 0.7502 0.7502 0.7502  9 Ni 2.52, 3 V 2.53

***

First-principles (PBE) data for an optimized crystal structure of Ce3Sm4ThS8, as listed in the Alexandria database.

Values from the calculation:
- Total DFT energy (no corrections): -6.83 eV/atom
- SG: R-3m (166)

Cell lengths 8.0543, 8.0543, 8.0543 Å; angles 59.70, 59.70, 59.70 degrees
With the nearest neighbours (Å) after each atom.
Fractional positions:
Ce1 0.0000 0.5000 0.5000  6 S 2.85
Ce2 0.5000 0.0000 0.5000  6 S 2.85
Ce3 0.5000 0.5000 0.0000  6 S 2.85
Sm1 0.0000 0.0000 0.5000  6 S 2.83
Sm2 0.0000 0.5000 0.0000  6 S 2.83
Sm3 0.5000 0.0000 0.0000  6 S 2.83
Sm4 0.5000 0.5000 0.5000  6 S 2.83
Th1 0.0000 0.0000 0.0000  6 S 2.86
S1 0.2493 0.2493 0.2493  3 Sm 2.83, 3 Ce 2.85
S2 0.2496 0.7487 0.7487  3 Sm 2.83, 2 Ce 2.85, 1 Th 2.86
S3 0.2513 0.2513 0.7504  3 Sm 2.83, 2 Ce 2.85, 1 Th 2.86
S4 0.2513 0.7504 0.2513  3 Sm 2.83, 2 Ce 2.85, 1 Th 2.86
S5 0.7487 0.2496 0.7487  3 Sm 2.83, 2 Ce 2.85, 1 Th 2.86
S6 0.7487 0.7487 0.2496  3 Sm 2.83, 2 Ce 2.85, 1 Th 2.86
S7 0.7504 0.2513 0.2513  3 Sm 2.83, 2 Ce 2.85, 1 Th 2.86
S8 0.7507 0.7507 0.7507  3 Sm 2.83, 3 Ce 2.85

***

First-principles (PBE) data for an optimized crystal structure of RhPbCl, as listed in the Alexandria database.

Values from the calculation:
- Energy above the lowest structure with this stoichiometry: 0.0368 eV/atom
- Total DFT energy (no corrections): -4.28 eV/atom
- SG: I4mm (107)

Cell lengths 6.0776, 6.0776, 6.0776 Å; angles 147.41, 147.41, 46.76 degrees
With the nearest neighbours (Å) after each atom.
Fractional positions:
Rh1 0.0000 0.0000 0.0000  4 Pb 2.81, 4 Cl 2.92
Pb1 0.3714 0.3714 0.0000  4 Rh 2.81, 1 Cl 3.09
Cl1 0.6482 0.6482 0.0000  4 Rh 2.92, 1 Pb 3.09

***

First-principles (PBE) data for an optimized crystal structure of Ba5SmHg6, as listed in the Alexandria database.

Values from the calculation:
- Energy relative to the elements: -0.49 eV/atom
- Total DFT energy (no corrections): -1.83 eV/atom
- SG: P2/m (10)

Cell lengths 5.8204, 8.2786, 9.2246 Å; angles 90.00, 108.15, 90.00 degrees
With the nearest neighbours (Å) after each atom.
Fractional positions:
Ba1 0.0000 0.0000 0.0000  8 Hg 3.49-3.70
Ba2 0.3312 0.0000 0.6631  8 Hg 3.65-3.78, 1 Ba 4.07
Ba3 0.3309 0.5000 0.6627  8 Hg 3.49-3.65
Ba4 0.6688 0.0000 0.3369  8 Hg 3.65-3.78, 1 Ba 4.07
Ba5 0.6691 0.5000 0.3373  8 Hg 3.49-3.65
Sm1 0.0000 0.5000 0.0000  8 Hg 3.35-3.45
Hg1 0.1560 0.2641 0.3110  1 Sm 3.35, 6 Ba 3.49-3.65
Hg2 0.1560 0.7359 0.3110  1 Sm 3.35, 6 Ba 3.49-3.65
Hg3 0.5000 0.2764 0.0000  2 Sm 3.45, 6 Ba 3.49-3.74, 1 Hg 3.70
Hg4 0.5000 0.7236 0.0000  2 Sm 3.45, 6 Ba 3.49-3.74, 1 Hg 3.70
Hg5 0.8440 0.2641 0.6890  1 Sm 3.35, 6 Ba 3.49-3.65
Hg6 0.8440 0.7359 0.6890  1 Sm 3.35, 6 Ba 3.49-3.65

***

First-principles (PBE) data for an optimized crystal structure of HgAs2Ru, as listed in the Alexandria database.

Values from the calculation:
- Energy relative to the elements: 0.00 eV/atom
- Total DFT energy (no corrections): -4.72 eV/atom
- SG: R-3m (166)

Cell lengths 10.0600, 10.0600, 10.0600 Å; angles 17.38, 17.38, 17.38 degrees
With the nearest neighbours (Å) after each atom.
Fractional positions:
Hg1 0.0000 0.0000 0.0000  6 Hg 3.04
As1 0.2295 0.2295 0.2295  3 Ru 2.56
As2 0.7705 0.7705 0.7705  3 Ru 2.56
Ru1 0.5000 0.5000 0.5000  6 As 2.56

***

First-principles (PBE) data for an optimized crystal structure of CsPdPtI6, as listed in the Alexandria database.

Values from the calculation:
- Total DFT energy (no corrections): -2.77 eV/atom
- SG: P1 (1)

Cell lengths 7.2508, 7.3227, 7.9727 Å; angles 73.99, 89.32, 72.50 degrees
With the nearest neighbours (Å) after each atom.
Fractional positions:
Cs1 0.0000 0.0000 0.0000  7 I 3.84-4.15, 1 Pd 4.19
Pd1 0.1943 0.1475 0.4986  4 I 2.64-2.75
Pt1 0.5198 0.5069 0.4927  6 I 2.67-2.87
I1 0.2129 0.7673 0.6226  1 Pd 2.65, 1 Pt 2.85
I2 0.2680 0.4598 0.2762  1 Pd 2.67, 1 Pt 2.69
I3 0.4685 0.1739 0.7175  1 Pt 2.72, 1 Pd 2.75
I4 0.5485 0.8276 0.2413  1 Pt 2.69
I5 0.7672 0.5409 0.7195  1 Pt 2.67
I6 0.8338 0.2491 0.3640  1 Pd 2.64, 1 Pt 2.87

***

First-principles (PBE) data for an optimized crystal structure of Ca2Ag5Hg, as listed in the Alexandria database.

Values from the calculation:
- Energy relative to the elements: -0.22 eV/atom
- Total DFT energy (no corrections): -2.54 eV/atom
- SG: Cmcm (63)

Cell lengths 9.0633, 9.0633, 9.9653 Å; angles 90.00, 90.00, 152.97 degrees
With the nearest neighbours (Å) after each atom.
Fractional positions:
Ca1 0.0000 0.0000 0.0000  4 Ag 3.18, 4 Hg 3.32
Ca2 0.0000 0.0000 0.5000  4 Ag 3.18, 4 Hg 3.32
Ca3 0.1861 0.8139 0.7500  11 Ag 3.18-3.51, 2 Hg 3.41
Ca4 0.8139 0.1861 0.2500  11 Ag 3.18-3.51, 2 Hg 3.41
Ag1 0.2077 0.7923 0.1005  6 Ag 2.80-2.98
Ag2 0.2077 0.7923 0.3995  6 Ag 2.80-2.98
Ag3 0.3661 0.6339 0.0299  4 Ag 2.79-2.88, 1 Hg 2.81
Ag4 0.3661 0.6339 0.4701  4 Ag 2.79-2.88, 1 Hg 2.81
Ag5 0.3739 0.6261 0.7500  6 Ag 2.79-2.96, 1 Hg 2.82
Ag6 0.6261 0.3739 0.2500  6 Ag 2.79-2.96, 1 Hg 2.82
Ag7 0.6339 0.3661 0.5299  4 Ag 2.79-2.88, 1 Hg 2.81
Ag8 0.6339 0.3661 0.9701  4 Ag 2.79-2.88, 1 Hg 2.81
Ag9 0.7923 0.2077 0.6005  6 Ag 2.80-2.98
Ag10 0.7923 0.2077 0.8995  6 Ag 2.80-2.98
Hg1 0.4659 0.5341 0.2500  3 Ag 2.81-2.82
Hg2 0.5341 0.4659 0.7500  3 Ag 2.81-2.82

***

First-principles (PBE) data for an optimized crystal structure of LaMg3Tl, as listed in the Alexandria database.

Values from the calculation:
- Energy above the lowest structure with this stoichiometry: 0.0000 eV/atom
- Energy relative to the elements: 0.23 eV/atom
- Total DFT energy (no corrections): -2.19 eV/atom
- SG: Pm-3m (221)

Cell lengths 5.3809, 5.3809, 5.3809 Å; angles 90.00, 90.00, 90.00 degrees
With the nearest neighbours (Å) after each atom.
Fractional positions:
La1 0.0000 0.0000 0.0000  12 Mg 3.80
Mg1 0.0000 0.5000 0.5000  2 Tl 2.69
Mg2 0.5000 0.0000 0.5000  2 Tl 2.69
Mg3 0.5000 0.5000 0.0000  2 Tl 2.69
Tl1 0.5000 0.5000 0.5000  6 Mg 2.69

***

First-principles (PBE) data for an optimized crystal structure of Cs4La3TiO8, as listed in the Alexandria database.

Values from the calculation:
- Total DFT energy (no corrections): -6.51 eV/atom
- SG: R-3m (166)

Cell lengths 8.0885, 8.0885, 8.0885 Å; angles 53.41, 53.41, 53.41 degrees
With the nearest neighbours (Å) after each atom.
Fractional positions:
Cs1 0.0000 0.0000 0.0000  6 O 3.36, 6 Cs 3.64
Cs2 0.0000 0.5000 0.5000  6 O 3.09-3.13
Cs3 0.5000 0.0000 0.5000  6 O 3.09-3.13
Cs4 0.5000 0.5000 0.0000  6 O 3.09-3.13
La1 0.0000 0.0000 0.5000  6 O 2.39-2.50
La2 0.0000 0.5000 0.0000  6 O 2.39-2.50
La3 0.5000 0.0000 0.0000  6 O 2.39-2.50
Ti1 0.5000 0.5000 0.5000  6 O 2.12
O1 0.2214 0.2214 0.2214  3 La 2.39
O2 0.2635 0.6967 0.6967  1 Ti 2.12
O3 0.3033 0.3033 0.7365  1 Ti 2.12
O4 0.3033 0.7365 0.3033  1 Ti 2.12
O5 0.6967 0.2635 0.6967  1 Ti 2.12
O6 0.6967 0.6967 0.2635  1 Ti 2.12
O7 0.7365 0.3033 0.3033  1 Ti 2.12
O8 0.7786 0.7786 0.7786  3 La 2.39

***

First-principles (PBE) data for an optimized crystal structure of Ce8Ga2Sb, as listed in the Alexandria database.

Values from the calculation:
- Total DFT energy (no corrections): -5.53 eV/atom
- SG: C2/m (12)

Cell lengths 8.0148, 8.0148, 5.5537 Å; angles 99.58, 99.58, 116.85 degrees
With the nearest neighbours (Å) after each atom.
Fractional positions:
Ce1 0.0743 0.2834 0.5804  2 Ce 2.85-2.86, 2 Ga 3.09-3.17
Ce2 0.2373 0.7627 0.0000  2 Ga 2.96, 1 Sb 3.24
Ce3 0.2834 0.0743 0.5804  2 Ce 2.85-2.86, 2 Ga 3.09-3.17
Ce4 0.4089 0.4089 0.1668  1 Ce 2.75
Ce5 0.5911 0.5911 0.8332  1 Ce 2.75
Ce6 0.7166 0.9257 0.4196  2 Ce 2.85-2.86, 2 Ga 3.09-3.17
Ce7 0.7627 0.2373 0.0000  2 Ga 2.96, 1 Sb 3.24
Ce8 0.9257 0.7166 0.4196  2 Ce 2.85-2.86, 2 Ga 3.09-3.17
Ga1 0.3117 0.6883 0.5000  8 Ce 2.96-3.17
Ga2 0.6883 0.3117 0.5000  8 Ce 2.96-3.17
Sb1 0.0000 0.0000 0.0000  12 Ce 3.24-3.46

***

First-principles (PBE) data for an optimized crystal structure of RhSeNF2, as listed in the Alexandria database.

Values from the calculation:
- Energy above the lowest structure with this stoichiometry: 0.4170 eV/atom
- Total DFT energy (no corrections): -4.05 eV/atom
- SG: P4/mmm (123)

Cell lengths 4.4267, 4.4267, 3.7605 Å; angles 90.00, 90.00, 90.00 degrees
With the nearest neighbours (Å) after each atom.
Fractional positions:
Rh1 0.0000 0.0000 0.0000  8 F 2.90, 4 N 3.13
Se1 0.5000 0.5000 0.5000  2 N 1.88
N1 0.5000 0.5000 0.0000  2 Se 1.88
F1 0.0000 0.5000 0.5000  2 Se 2.21
F2 0.5000 0.0000 0.5000  2 Se 2.21

***

First-principles (PBE) data for an optimized crystal structure of Ca3Sm2UP6, as listed in the Alexandria database.

Values from the calculation:
- Energy relative to the elements: -1.26 eV/atom
- Total DFT energy (no corrections): -6.19 eV/atom
- SG: C2/m (12)

Cell lengths 7.0880, 7.0880, 7.0800 Å; angles 99.66, 99.66, 119.98 degrees
With the nearest neighbours (Å) after each atom.
Fractional positions:
Ca1 0.0000 0.0000 0.0000  6 P 2.91-3.10
Ca2 0.3296 0.6704 0.0000  6 P 2.91-3.04
Ca3 0.6704 0.3296 0.0000  6 P 2.91-3.04
Sm1 0.1662 0.8338 0.5000  6 P 2.88-2.89
Sm2 0.8338 0.1662 0.5000  6 P 2.88-2.89
U1 0.5000 0.5000 0.5000  6 P 2.69-2.71
P1 0.1095 0.4230 0.2679  1 U 2.71, 2 Sm 2.89, 2 Ca 2.91
P2 0.2655 0.2655 0.7295  1 U 2.69, 2 Sm 2.88, 2 Ca 2.95
P3 0.4230 0.1095 0.2679  1 U 2.71, 2 Sm 2.89, 2 Ca 2.91
P4 0.5770 0.8905 0.7321  1 U 2.71, 2 Sm 2.89, 2 Ca 2.91
P5 0.7345 0.7345 0.2705  1 U 2.69, 2 Sm 2.88, 2 Ca 2.95
P6 0.8905 0.5770 0.7321  1 U 2.71, 2 Sm 2.89, 2 Ca 2.91

***

First-principles (PBE) data for an optimized crystal structure of MoBr, as listed in the Alexandria database.

Values from the calculation:
- Energy above the lowest structure with this stoichiometry: 0.8934 eV/atom
- Total DFT energy (no corrections): -5.43 eV/atom
- SG: P6_3/mmc (194)

Cell lengths 3.0714, 3.0714, 8.5712 Å; angles 90.00, 90.00, 120.00 degrees
With the nearest neighbours (Å) after each atom.
Fractional positions:
Mo1 0.3333 0.6667 0.2500  6 Br 2.78, 6 Mo 3.07
Mo2 0.6667 0.3333 0.7500  6 Br 2.78, 6 Mo 3.07
Br1 0.0000 0.0000 0.0000  6 Mo 2.78, 6 Br 3.07
Br2 0.0000 0.0000 0.5000  6 Mo 2.78, 6 Br 3.07

***

First-principles (PBE) data for an optimized crystal structure of LiPmSmGe, as listed in the Alexandria database.

Values from the calculation:
- Energy relative to the elements: -0.43 eV/atom
- Total DFT energy (no corrections): -4.43 eV/atom
- SG: F-43m (216)

Cell lengths 5.1450, 5.1450, 5.1450 Å; angles 60.00, 60.00, 60.00 degrees
With the nearest neighbours (Å) after each atom.
Fractional positions:
Li1 0.0000 0.0000 0.0000  4 Sm 3.15, 4 Pm 3.15
Pm1 0.2500 0.2500 0.2500  4 Ge 3.15, 4 Li 3.15
Sm1 0.7500 0.7500 0.7500  4 Ge 3.15, 4 Li 3.15
Ge1 0.5000 0.5000 0.5000  4 Sm 3.15, 4 Pm 3.15

***

First-principles (PBE) data for an optimized crystal structure of YTa2Tc, as listed in the Alexandria database.

Values from the calculation:
- Energy above the lowest structure with this stoichiometry: 0.1286 eV/atom
- Energy relative to the elements: 0.17 eV/atom
- Total DFT energy (no corrections): -9.96 eV/atom
- SG: Cm (8)

Cell lengths 5.6304, 5.6304, 4.9150 Å; angles 115.80, 115.80, 33.85 degrees
With the nearest neighbours (Å) after each atom.
Fractional positions:
Y1 0.0000 0.0000 0.0000  2 Tc 2.89, 6 Ta 2.98-3.10
Ta1 0.5397 0.5397 0.5397  2 Tc 2.61
Ta2 0.7738 0.7738 0.2740  4 Tc 2.96-2.97, 4 Ta 3.03-3.28, 4 Y 3.10-3.28
Tc1 0.2513 0.2513 0.7507  2 Ta 2.61, 2 Y 2.89

***

First-principles (PBE) data for an optimized crystal structure of PmAgAu4, as listed in the Alexandria database.

Values from the calculation:
- Energy above the lowest structure with this stoichiometry: 0.0466 eV/atom
- Energy relative to the elements: -0.37 eV/atom
- Total DFT energy (no corrections): -3.82 eV/atom
- SG: P2/m (10)

Cell lengths 3.6168, 3.7509, 9.0803 Å; angles 90.00, 90.22, 90.00 degrees
With the nearest neighbours (Å) after each atom.
Fractional positions:
Pm1 0.0000 0.0000 0.0000  10 Au 3.10
Ag1 0.5000 0.5000 0.5000  10 Au 2.87-2.98
Au1 0.0019 0.0000 0.3417  5 Au 2.87-2.97, 4 Ag 2.97-2.98, 1 Pm 3.10
Au2 0.4984 0.5000 0.8156  1 Ag 2.87, 4 Au 2.97, 4 Pm 3.10
Au3 0.5016 0.5000 0.1844  1 Ag 2.87, 4 Au 2.97, 4 Pm 3.10
Au4 0.9981 0.0000 0.6583  5 Au 2.87-2.97, 4 Ag 2.97-2.98, 1 Pm 3.10

***

First-principles (PBE) data for an optimized crystal structure of ZrAl2Cu, as listed in the Alexandria database.

Values from the calculation:
- Energy relative to the elements: 0.02 eV/atom
- Total DFT energy (no corrections): -5.01 eV/atom
- SG: P3m1 (156)

Cell lengths 2.9393, 2.9393, 9.3185 Å; angles 90.00, 90.00, 120.00 degrees
With the nearest neighbours (Å) after each atom.
Fractional positions:
Zr1 0.0000 0.0000 0.0000  4 Al 2.86-3.02, 6 Zr 2.94
Al1 0.0000 0.0000 0.6930  3 Cu 2.59, 1 Zr 2.86
Al2 0.6667 0.3333 0.2684  3 Cu 2.62
Cu1 0.3333 0.6667 0.4824  6 Al 2.59-2.62

***

First-principles (PBE) data for an optimized crystal structure of Na2TaCdF, as listed in the Alexandria database.

Values from the calculation:
- Total DFT energy (no corrections): -3.28 eV/atom
- SG: P4/mmm (123)

Cell lengths 6.3066, 6.3066, 4.0040 Å; angles 90.00, 90.00, 90.00 degrees
With the nearest neighbours (Å) after each atom.
Fractional positions:
Na1 0.0000 0.5000 0.0000  2 Ta 3.15
Na2 0.5000 0.0000 0.0000  2 Ta 3.15
Ta1 0.0000 0.0000 0.0000  2 F 2.00
Cd1 0.5000 0.5000 0.5000  8 Na 3.74, 2 Cd 4.00
F1 0.0000 0.0000 0.5000  2 Ta 2.00

***

First-principles (PBE) data for an optimized crystal structure of PrTlInHg, as listed in the Alexandria database.

Values from the calculation:
- Energy above the lowest structure with this stoichiometry: 0.0000 eV/atom
- Energy relative to the elements: -0.37 eV/atom
- Total DFT energy (no corrections): -2.92 eV/atom
- SG: Pmmm (47)

Cell lengths 4.7308, 4.7542, 4.7896 Å; angles 90.00, 90.00, 90.00 degrees
With the nearest neighbours (Å) after each atom.
Fractional positions:
Pr1 0.0000 0.0000 0.0000  4 Tl 3.35, 4 In 3.37, 4 Hg 3.37
Tl1 0.5000 0.5000 0.0000  4 Pr 3.35, 4 Hg 3.37, 4 In 3.37
In1 0.5000 0.0000 0.5000  4 Hg 3.35, 4 Pr 3.37, 4 Tl 3.37
Hg1 0.0000 0.5000 0.5000  4 In 3.35, 4 Tl 3.37, 4 Pr 3.37

***

First-principles (PBE) data for an optimized crystal structure of Sr2CI, as listed in the Alexandria database.

Values from the calculation:
- Total DFT energy (no corrections): -3.19 eV/atom
- SG: Fm-3m (225)

Cell lengths 5.3813, 5.3813, 5.3813 Å; angles 60.00, 60.00, 60.00 degrees
With the nearest neighbours (Å) after each atom.
Fractional positions:
Sr1 0.2500 0.2500 0.2500  4 I 3.30, 4 C 3.30
Sr2 0.7500 0.7500 0.7500  4 I 3.30, 4 C 3.30
C1 0.0000 0.0000 0.0000  8 Sr 3.30
I1 0.5000 0.5000 0.5000  8 Sr 3.30